[1]
PmTm4Bi5 | PBE-GGA | optimized geometry

a = 11.804 Å, b = 11.804 Å, c = 11.804 Å
α = 158.21°, β = 148.97°, γ = 38.24°
Positions (direct):
1 Pm 0.000 0.000 0.000
2 Tm 0.202 0.202 0.000
3 Tm 0.400 0.400 0.000
4 Tm 0.600 0.600 0.000
5 Tm 0.798 0.798 0.000
6 Bi 0.104 0.604 0.500
7 Bi 0.301 0.801 0.500
8 Bi 0.500 0.000 0.500
9 Bi 0.699 0.199 0.500
10 Bi 0.896 0.396 0.500

As for the density of states at the Fermi level: 1.97 states/eV/cell. The formation energy is -78 kJ per mole of atoms. The calculation puts the calculated volume at 31.427 A^3/atom. Its space group is Immm.

---

[2]
Ba2ZrBi2 | PBE-GGA | optimized geometry

a = 8.348 Å, b = 8.348 Å, c = 5.294 Å
α = 90.00°, β = 90.00°, γ = 90.00°
Positions (direct):
1 Ba 0.156 0.344 0.000
2 Ba 0.344 0.844 0.000
3 Ba 0.656 0.156 0.000
4 Ba 0.844 0.656 0.000
5 Zr 0.000 0.000 0.500
6 Zr 0.500 0.500 0.500
7 Bi 0.159 0.659 0.500
8 Bi 0.341 0.159 0.500
9 Bi 0.659 0.841 0.500
10 Bi 0.841 0.341 0.500

As for the density of states at the Fermi level: 6.44 states/eV/cell. The formation energy is -43 kJ per mole of atoms. The calculation puts the calculated volume at 36.894 A^3/atom. Its space group is P4/mbm.

---

[3]
AlIr2Se | PBE-GGA | optimized geometry

a = 4.190 Å, b = 4.190 Å, c = 3.447 Å
α = 90.00°, β = 90.00°, γ = 90.00°
Positions (direct):
1 Al 0.000 0.000 0.000
2 Ir 0.000 0.500 0.500
3 Ir 0.500 0.000 0.500
4 Se 0.500 0.500 0.000

As for the density of states at the Fermi level: 2.71 states/eV/cell. The energy above the lowest structure with this stoichiometry comes out at 158 meV per atom. The calculation puts the calculated volume at 15.133 A^3/atom. The formation energy without anion corrections comes out at -0.020 eV per atom. Its space group is P4/mmm.

---

[4]
Sr2AgPt | PBE-GGA | optimized geometry

a = 8.087 Å, b = 8.087 Å, c = 8.087 Å
α = 31.67°, β = 31.67°, γ = 31.67°
Positions (direct):
1 Sr 0.000 0.000 0.000
2 Sr 0.190 0.190 0.190
3 Ag 0.431 0.431 0.431
4 Pt 0.593 0.593 0.593

As for the density of states at the Fermi level: 1.97 states/eV/cell. The formation energy is -45 kJ per mole of atoms. The energy above the lowest structure with this stoichiometry comes out at 136 meV per atom. The calculation puts the calculated volume at 32.368 A^3/atom. Its space group is R3m.